Record 1
Computed, not measured: a geometry-optimized VAgPd5 structure at the PBE level of DFT.

```
VAgPd5
1.0
3.985 0.000 0.000
0.000 3.985 0.000
0.000 0.000 7.175
V Ag Pd
1 1 5
Cartesian
1.992 1.992 0.000 V
0.000 0.000 3.587 Ag
0.000 1.992 5.657 Pd
0.000 1.992 1.518 Pd
1.992 0.000 5.657 Pd
1.992 0.000 1.518 Pd
1.992 1.992 3.587 Pd
```

- ΔH_f (0 K): -10 meV/atom
- Total magnetic moment: 0.0 μB/f.u.
- N(E_F): 5.3 states/eV per cell
- SG: No. 123

Record 2
Computed, not measured: a geometry-optimized VAgPd6 structure at the PBE level of DFT.

```
VAgPd6
1.0
3.944 0.000 0.000
0.000 3.944 0.000
0.000 0.000 7.870
V Ag Pd
1 1 6
Cartesian
0.000 0.000 3.935 V
0.000 0.000 0.000 Ag
1.972 1.972 0.000 Pd
1.972 1.972 3.935 Pd
1.972 0.000 2.080 Pd
1.972 0.000 5.790 Pd
0.000 1.972 2.080 Pd
0.000 1.972 5.790 Pd
```

- ΔH_f (0 K): -160 meV/atom
- Total magnetic moment: 0.0 μB/f.u.
- N(E_F): 8.8 states/eV per cell
- SG: No. 123

Among the records above, which one has the highest ΔH_f (0 K)? VAgPd5

Which of these has the lowest N(E_F)? VAgPd5